! Y2CuIr | the Alexandria database | PBE | optimized geometry; values from VASP
&SYSTEM
  ibrav = 0, nat = 4, ntyp = 3
/
ATOMIC_SPECIES
Y 88.91 Y.upf
Ir 192.22 Ir.upf
Cu 63.55 Cu.upf
CELL_PARAMETERS angstrom
-1.3142 -3.0355 1.1750
2.6153 -2.4096 -3.2999
3.6602 -0.3601 3.1638
ATOMIC_POSITIONS angstrom
Y 1.8301 -0.1800 1.5819
Y 1.3077 -1.2048 -1.6500
Ir 2.4806 -2.9026 0.5194
Cu -0.6571 -1.5178 0.5875
! Electronic total energy in eV/atom: -7.0191
! Formation energy in meV/atom: -548
! SG: No. 123
! DOS at the Fermi energy in states/eV/cell: 2.73
! Crystal system: tetragonal



! Y4Cu3Ir | the Alexandria database | PBE | optimized geometry; values from VASP
&SYSTEM
  ibrav = 0, nat = 8, ntyp = 3
/
ATOMIC_SPECIES
Y 88.91 Y.upf
Ir 192.22 Ir.upf
Cu 63.55 Cu.upf
CELL_PARAMETERS angstrom
3.7894 0.0000 0.0000
0.0000 4.4066 0.0000
0.0000 0.0000 10.4656
ATOMIC_POSITIONS angstrom
Y 1.8947 2.2033 3.6966
Y 0.0000 2.2033 9.0604
Y 0.0000 0.0000 1.4503
Y 1.8947 0.0000 6.7045
Ir 1.8947 2.2033 0.8110
Cu 0.0000 2.2033 5.9631
Cu 0.0000 0.0000 4.5049
Cu 1.8947 0.0000 9.6713
! Electronic total energy in eV/atom: -6.3058
! Formation energy in meV/atom: -430
! SG: No. 25
! DOS at the Fermi energy in states/eV/cell: 6.17
! Crystal system: orthorhombic



! Y2CuIr | the Alexandria database | PBE | optimized geometry; values from VASP
&SYSTEM
  ibrav = 0, nat = 4, ntyp = 3
/
ATOMIC_SPECIES
Cu 63.55 Cu.upf
Ir 192.22 Ir.upf
Y 88.91 Y.upf
CELL_PARAMETERS angstrom
6.0134 0.0217 0.0153
3.2079 5.0863 -0.0153
-4.2497 -3.2056 2.7974
ATOMIC_POSITIONS angstrom
Cu 4.1784 2.3146 0.0000
Ir 1.9429 2.3051 1.3911
Y 0.2993 0.1658 0.0000
Y 3.1616 -0.3291 1.4063
! Electronic total energy in eV/atom: -6.8276
! Formation energy in meV/atom: -356
! SG: No. 44
! DOS at the Fermi energy in states/eV/cell: 3.02
! Crystal system: orthorhombic



! Y5CuIr4 | the Alexandria database | PBE | optimized geometry; values from VASP
&SYSTEM
  ibrav = 0, nat = 10, ntyp = 3
/
ATOMIC_SPECIES
Y 88.91 Y.upf
Cu 63.55 Cu.upf
Ir 192.22 Ir.upf
CELL_PARAMETERS angstrom
-2.5692 2.1154 -0.8365
-1.7758 -2.6538 -1.2568
-7.2373 -2.5863 15.6873
ATOMIC_POSITIONS angstrom
Y -2.9308 -0.5402 0.5971
Y -4.3552 -1.0492 3.6845
Y -5.7912 -1.5623 6.7970
Y -7.2271 -2.0755 9.9095
Y -8.6515 -2.5845 12.9969
Cu 0.0000 0.0000 0.0000
Ir -1.4492 -0.5179 3.1413
Ir -2.8979 -1.0356 6.2814
Ir -4.3394 -1.5507 9.4059
Ir -5.7881 -2.0684 12.5460
! Electronic total energy in eV/atom: -7.8641
! Formation energy in meV/atom: -678
! SG: No. 123
! DOS at the Fermi energy in states/eV/cell: 9.01
! Crystal system: tetragonal



! Y2CuIr | the Alexandria database | PBE | optimized geometry; values from VASP
&SYSTEM
  ibrav = 0, nat = 4, ntyp = 3
/
ATOMIC_SPECIES
Cu 63.55 Cu.upf
Ir 192.22 Ir.upf
Y 88.91 Y.upf
CELL_PARAMETERS angstrom
3.4436 -0.0103 0.0000
0.0098 3.4436 0.0000
0.0000 0.0000 7.5779
ATOMIC_POSITIONS angstrom
Cu 0.0000 0.0000 4.1022
Ir 1.7267 1.7166 5.3495
Y 0.0000 0.0000 6.9796
Y 1.7267 1.7166 2.5136
! Electronic total energy in eV/atom: -6.6840
! Formation energy in meV/atom: -213
! SG: No. 99
! DOS at the Fermi energy in states/eV/cell: 3.76
! Crystal system: tetragonal



! YCuIr | the Alexandria database | PBE | optimized geometry; values from VASP
&SYSTEM
  ibrav = 0, nat = 3, ntyp = 3
/
ATOMIC_SPECIES
Cu 63.55 Cu.upf
Ir 192.22 Ir.upf
Y 88.91 Y.upf
CELL_PARAMETERS angstrom
4.3699 0.0000 0.0000
2.1849 3.7844 0.0000
2.1849 1.2615 3.5680
ATOMIC_POSITIONS angstrom
Cu 6.5548 3.7844 2.6760
Ir 0.0000 0.0000 0.0000
Y 4.3699 2.5230 1.7840
! Electronic total energy in eV/atom: -6.6506
! Formation energy in meV/atom: -177
! SG: No. 216
! Energy relative to the lowest polymorph listed for this composition in meV per atom: 384
! DOS at the Fermi energy in states/eV/cell: 2.07
! Crystal system: cubic



! Y2CuIr | the Alexandria database | PBE | optimized geometry; values from VASP
&SYSTEM
  ibrav = 0, nat = 4, ntyp = 3
/
ATOMIC_SPECIES
Cu 63.55 Cu.upf
Ir 192.22 Ir.upf
Y 88.91 Y.upf
CELL_PARAMETERS angstrom
4.7755 0.0000 0.0000
2.3877 4.1357 0.0000
2.3877 1.3786 3.8992
ATOMIC_POSITIONS angstrom
Cu 4.7755 2.7571 1.9496
Ir 7.1632 4.1357 2.9244
Y 0.0000 0.0000 0.0000
Y 2.3877 1.3786 0.9748
! Electronic total energy in eV/atom: -6.6591
! Formation energy in meV/atom: -188
! SG: No. 216
! DOS at the Fermi energy in states/eV/cell: 4.15
! Crystal system: cubic



! YCuIr | the Alexandria database | PBE | optimized geometry; values from VASP
&SYSTEM
  ibrav = 0, nat = 3, ntyp = 3
/
ATOMIC_SPECIES
Cu 63.55 Cu.upf
Ir 192.22 Ir.upf
Y 88.91 Y.upf
CELL_PARAMETERS angstrom
4.5323 0.0000 0.0000
2.2661 3.9251 0.0000
2.2661 1.3084 3.7006
ATOMIC_POSITIONS angstrom
Cu 0.0000 0.0000 0.0000
Ir 4.5323 2.6167 1.8503
Y 6.7984 3.9251 2.7755
! Electronic total energy in eV/atom: -6.1582
! Formation energy in meV/atom: 316
! SG: No. 216
! Energy relative to the lowest polymorph listed for this composition in meV per atom: 876
! DOS at the Fermi energy in states/eV/cell: 2.14
! Crystal system: cubic